[1]
DFT (PBE) results for a relaxed structure of K3TcBr6.

The value obtained for the total energy is -70.273 eV/cell. As for the density: 3.36 g cm⁻³. The magnetization is 4.00 μB/cell. For the formation energy without anion corrections, the calculation gives -1144 meV per atom.

abc: 7.667 8.053 13.316
angles: 90.00 56.65 90.00
Fractional coordinates of all 20 atoms:
Tc 0.000 0.500 0.500
Tc 0.000 0.000 0.000
Br 0.325 0.523 0.284
Br 0.899 0.274 0.945
Br 0.215 0.334 0.561
Br 0.215 0.166 0.061
Br 0.899 0.226 0.445
Br 0.785 0.666 0.439
Br 0.785 0.834 0.939
Br 0.101 0.774 0.555
Br 0.101 0.726 0.055
Br 0.675 0.477 0.716
Br 0.325 0.977 0.784
Br 0.675 0.023 0.216
K 0.500 0.000 0.500
K 0.786 0.085 0.741
K 0.786 0.415 0.241
K 0.214 0.585 0.759
K 0.500 0.500 0.000
K 0.214 0.915 0.259

[2]
DFT (PBE) results for a relaxed structure of KTc2Br.

The value obtained for the total energy is -19.419 eV/cell. As for the density: 5.58 g cm⁻³. The magnetization is 2.20 μB/cell. The value obtained for the distance to the lowest polymorph of the same formula is 0.8004 eV per atom. For the formation energy without anion corrections, the calculation gives 1021 meV per atom.

abc: 4.319 7.101 3.312
angles: 76.49 90.08 107.73
Fractional coordinates of all 4 atoms:
K 0.500 0.500 0.000
Tc 0.000 0.000 0.000
Tc 0.500 0.000 0.500
Br 0.000 0.500 0.500

[3]
DFT (PBE) results for a relaxed structure of KTc2Br.

The value obtained for the total energy is -18.519 eV/cell. As for the density: 5.41 g cm⁻³. The magnetization is 2.08 μB/cell. The value obtained for the distance to the lowest polymorph of the same formula is 1.0254 eV per atom. For the formation energy without anion corrections, the calculation gives 1246 meV per atom.

abc: 7.405 7.405 2.596
angles: 90.00 90.00 137.27
Fractional coordinates of all 4 atoms:
Tc 0.000 0.000 0.000
Tc 0.500 0.500 0.000
Br 0.500 0.000 0.500
K 0.000 0.500 0.500

[4]
DFT (PBE) results for a relaxed structure of KTc2Br.

The value obtained for the total energy is -15.780 eV/cell. As for the density: 7.15 g cm⁻³. The magnetization is 1.90 μB/cell. The value obtained for the distance to the lowest polymorph of the same formula is 1.7100 eV per atom. For the formation energy without anion corrections, the calculation gives 1930 meV per atom.

abc: 4.694 4.694 4.694
angles: 60.00 60.00 60.00
Fractional coordinates of all 4 atoms:
K 0.000 0.000 0.000
Tc 0.250 0.250 0.250
Tc 0.750 0.750 0.750
Br 0.500 0.500 0.500

[5]
DFT (PBE) results for a relaxed structure of KTc2Br.

The value obtained for the total energy is -17.975 eV/cell. As for the density: 5.23 g cm⁻³. The magnetization is 0.00 μB/cell. The value obtained for the distance to the lowest polymorph of the same formula is 1.1613 eV per atom. For the formation energy without anion corrections, the calculation gives 1382 meV per atom.

abc: 3.791 3.791 6.966
angles: 90.00 90.00 90.00
Fractional coordinates of all 4 atoms:
Tc 0.000 0.000 0.098
Tc 0.000 0.000 0.402
Br 0.500 0.500 0.250
K 0.500 0.500 0.750

[6]
DFT (PBE) results for a relaxed structure of KTc2Br.

The value obtained for the total energy is -18.480 eV/cell. As for the density: 6.79 g cm⁻³. The magnetization is 1.60 μB/cell. The value obtained for the distance to the lowest polymorph of the same formula is 1.0351 eV per atom. For the formation energy without anion corrections, the calculation gives 1256 meV per atom.

abc: 4.778 4.778 4.778
angles: 120.05 120.05 89.91
Fractional coordinates of all 4 atoms:
Tc 0.000 0.000 0.000
Tc 0.250 0.750 0.500
Br 0.500 0.500 0.000
K 0.750 0.250 0.500

[7]
DFT (PBE) results for a relaxed structure of KTc2Br.

The value obtained for the total energy is -22.506 eV/cell. As for the density: 5.96 g cm⁻³. The magnetization is 0.01 μB/cell. The value obtained for the distance to the lowest polymorph of the same formula is 0.0285 eV per atom. For the formation energy without anion corrections, the calculation gives 249 meV per atom.

abc: 3.168 3.221 8.746
angles: 79.39 90.00 90.00
Fractional coordinates of all 4 atoms:
Tc 0.000 0.025 0.073
Tc 0.500 0.457 0.210
Br 0.000 0.326 0.475
K 0.500 0.692 0.742

[8]
DFT (PBE) results for a relaxed structure of KTl2TcBr8.

The value obtained for the total energy is -38.359 eV/cell. As for the density: 4.48 g cm⁻³. The magnetization is 2.04 μB/cell. For the formation energy without anion corrections, the calculation gives -732 meV per atom.

abc: 6.599 8.150 9.258
angles: 89.98 90.02 118.18
Fractional coordinates of all 12 atoms:
Br 0.972 0.210 0.192
Br 0.571 0.807 0.000
Br 0.972 0.211 0.808
Br 0.429 0.193 0.000
Br 0.564 0.285 0.500
Br 0.028 0.789 0.192
Br 0.028 0.790 0.808
Br 0.436 0.715 0.500
K 0.000 0.000 0.500
Tl 0.500 0.500 0.747
Tl 0.500 0.500 0.253
Tc 0.000 0.000 0.000

[9]
DFT (PBE) results for a relaxed structure of K2YTcBr.

The value obtained for the total energy is -18.579 eV/cell. As for the density: 2.81 g cm⁻³. The magnetization is 0.94 μB/cell. For the formation energy without anion corrections, the calculation gives 424 meV per atom.

abc: 6.393 4.993 6.393
angles: 90.00 90.00 90.00
Fractional coordinates of all 5 atoms:
Tc 0.000 0.000 0.000
K 0.500 0.000 0.000
K 0.000 0.000 0.500
Y 0.000 0.500 0.000
Br 0.500 0.500 0.500

[10]
DFT (PBE) results for a relaxed structure of KTe2Br.

The value obtained for the total energy is -23.695 eV/cell. As for the density: 3.72 g cm⁻³. The magnetization is 0.00 μB/cell. The value obtained for the distance to the lowest polymorph of the same formula is 0.0205 eV per atom. For the formation energy without anion corrections, the calculation gives -698 meV per atom.

abc: 4.354 4.354 17.885
angles: 83.01 83.01 90.00
Fractional coordinates of all 8 atoms:
Te 0.625 0.125 0.250
Te 0.875 0.875 0.750
Te 0.125 0.625 0.250
Te 0.375 0.375 0.750
K 0.500 0.500 0.000
K 0.250 0.750 0.500
Br 0.000 0.000 0.000
Br 0.750 0.250 0.500

[11]
DFT (PBE) results for a relaxed structure of K4TeBr.

The value obtained for the total energy is -11.973 eV/cell. As for the density: 2.50 g cm⁻³. The magnetization is 0.59 μB/cell. For the formation energy without anion corrections, the calculation gives -461 meV per atom.

abc: 6.992 6.992 6.992
angles: 60.00 60.00 60.00
Fractional coordinates of all 6 atoms:
Te 0.750 0.750 0.750
Br 0.000 0.000 0.000
K 0.376 0.872 0.376
K 0.376 0.376 0.376
K 0.872 0.376 0.376
K 0.376 0.376 0.872

[12]
DFT (PBE) results for a relaxed structure of KTe2Br6.

The value obtained for the total energy is -44.755 eV/cell. As for the density: 3.60 g cm⁻³. The magnetization is 0.00 μB/cell. For the formation energy without anion corrections, the calculation gives -551 meV per atom.

abc: 10.600 10.591 10.591
angles: 42.64 64.32 64.32
Fractional coordinates of all 18 atoms:
Te 0.748 0.397 0.103
Te 0.752 0.897 0.603
Te 0.248 0.103 0.397
Te 0.252 0.603 0.897
K 0.750 0.892 0.108
K 0.250 0.108 0.892
Br 0.381 0.942 0.246
Br 0.978 0.259 0.236
Br 0.881 0.246 0.942
Br 0.022 0.741 0.764
Br 0.389 0.452 0.745
Br 0.478 0.236 0.259
Br 0.619 0.058 0.754
Br 0.522 0.764 0.741
Br 0.611 0.548 0.255
Br 0.111 0.255 0.548
Br 0.119 0.754 0.058
Br 0.889 0.745 0.452

Q: What is the magnetization in the fourth record?
A: 1.90 μB/cell

Q: Which formula does entry 5 have?
A: KTc2Br